Below is a relaxed Fe2CuRh crystal, with properties calculated at the GGA-PBEsol level.

The value obtained for the formation enthalpy at 0 K is 9.2 kJ per mole of atoms. As for the calculated volume: 12.0 A^3/atom.

The space group is Pmmm (No. 47) and the conventional cell measures 2.5887, 3.6441 and 5.0682 Å, with angles of 90.00, 90.00 and 90.00 degrees. The inequivalent atoms are Fe at (0.0000, 0.0000, 0.2474), Cu at (0.5000, 0.5000, 0.0000) and Rh at (0.5000, 0.5000, 0.5000).



Below is a relaxed FeCu2Rh crystal, with properties calculated at the GGA-PBEsol level.

The value obtained for the formation enthalpy at 0 K is 8.8 kJ per mole of atoms. As for the calculated volume: 12.0 A^3/atom.

The space group is C2/m (No. 12) and the conventional cell measures 8.6315, 2.6127 and 4.3428 Å, with angles of 90.00, 101.39 and 90.00 degrees. The inequivalent atoms are Fe at (0.0000, 0.0000, 0.0000), Cu at (0.2482, 0.5000, 0.2447) and Rh at (0.0000, 0.5000, 0.5000).



Below is a relaxed FeCu2Rh crystal, with properties calculated at the GGA-PBEsol level.

The value obtained for the formation enthalpy at 0 K is 5.3 kJ per mole of atoms. As for the calculated volume: 12.0 A^3/atom.

The space group is I-4m2 (No. 119) and the conventional cell measures 3.6651, 3.6651 and 7.1559 Å, with angles of 90.00, 90.00 and 90.00 degrees. The inequivalent atoms are Fe at (0.0000, 0.0000, 0.0000), Cu at (0.0000, 0.0000, 0.5000), Cu at (0.0000, 0.5000, 0.2500) and Rh at (0.0000, 0.5000, 0.7500).



Below is a relaxed FeCu2Rh crystal, with properties calculated at the GGA-PBEsol level.

The value obtained for the formation enthalpy at 0 K is 9.4 kJ per mole of atoms. As for the calculated volume: 12.1 A^3/atom.

The space group is P4mm (No. 99) and the conventional cell measures 2.9846, 2.9846 and 5.4322 Å, with angles of 90.00, 90.00 and 90.00 degrees. The inequivalent atoms are Fe at (0.0000, 0.0000, 0.0000), Cu at (0.0000, 0.0000, 0.5219), Cu at (0.5000, 0.5000, 0.7498) and Rh at (0.5000, 0.5000, 0.2465).



Below is a relaxed Fe2CuRh crystal, with properties calculated at the GGA-PBEsol level.

The value obtained for the formation enthalpy at 0 K is 6.9 kJ per mole of atoms. As for the calculated volume: 12.0 A^3/atom.

The space group is P4/mmm (No. 123) and the conventional cell measures 3.6095, 3.6095 and 3.6691 Å, with angles of 90.00, 90.00 and 90.00 degrees. The inequivalent atoms are Fe at (0.0000, 0.5000, 0.0000), Cu at (0.0000, 0.0000, 0.5000) and Rh at (0.5000, 0.5000, 0.5000).



Below is a relaxed Fe2CuRh3S8 crystal, with properties calculated at the GGA-PBEsol level.

The uncorrected formation energy comes out at -511.2 meV/atom. As for the calculated volume: 15.2 A^3/atom.

The space group is R3m (No. 160, hexagonal axes) and the conventional cell measures 6.7462, 6.7462 and 16.2113 Å, with angles of 90.00, 90.00 and 120.00 degrees. The inequivalent atoms are Fe at (0.0000, 0.0000, 0.0000), Fe at (0.0000, 0.0000, 0.3639), Cu at (0.0000, 0.0000, 0.7533), Rh at (0.0134, 0.5067, 0.8773), S at (0.0000, 0.0000, 0.1266), S at (0.0000, 0.0000, 0.6181), S at (0.0335, 0.5168, 0.1249) and S at (0.1680, 0.3359, 0.9631).



Below is a relaxed FeCuRh4S8 crystal, with properties calculated at the GGA-PBEsol level.

The uncorrected formation energy comes out at -509.3 meV/atom. As for the calculated volume: 16.3 A^3/atom.

The space group is F-43m (No. 216) and the conventional cell measures 9.6995, 9.6995 and 9.6995 Å, with angles of 90.00, 90.00 and 90.00 degrees. The inequivalent atoms are Fe at (0.0000, 0.0000, 0.0000), Cu at (0.2500, 0.2500, 0.7500), Rh at (0.1248, 0.1248, 0.3752), S at (0.1155, 0.1155, 0.6155) and S at (0.1315, 0.1315, 0.1315).



Below is a relaxed FeCuRh4Se8 crystal, with properties calculated at the GGA-PBEsol level.

The uncorrected formation energy comes out at -371.4 meV/atom. As for the calculated volume: 18.9 A^3/atom.

The space group is F-43m (No. 216) and the conventional cell measures 10.1891, 10.1891 and 10.1891 Å, with angles of 90.00, 90.00 and 90.00 degrees. The inequivalent atoms are Fe at (0.0000, 0.0000, 0.0000), Cu at (0.2500, 0.2500, 0.7500), Rh at (0.1252, 0.1252, 0.3748), Se at (0.1154, 0.1154, 0.6154) and Se at (0.1311, 0.1311, 0.1311).